[1]
InFeCu2H after structural relaxation, computed with PBE.

The structure in POSCAR format:
```
InFeCu2H
1.0
-2.410 -2.702 1.443
2.028 -2.784 -1.826
2.271 -0.374 3.094
H Fe Cu In
1 1 2 1
Cartesian
0.000 0.000 0.000
1.136 -0.187 1.547
1.014 -1.392 -0.913
-1.205 -1.351 0.721
0.944 -2.930 1.355
```

Summary:
Total energy (eV/atom): -4.410
Space group: P4/mmm (123)



[2]
NaTl2VCl6 after structural relaxation, computed with PBE.

The structure in POSCAR format:
```
NaTl2VCl6
1.0
7.346 0.002 -0.001
3.675 6.360 0.002
3.672 2.123 5.741
Na Tl V Cl
1 2 1 6
Cartesian
11.020 6.364 3.168
7.348 4.247 1.850
3.672 2.119 4.485
3.673 2.121 0.296
5.544 1.542 1.675
2.233 0.798 1.680
3.244 4.037 1.667
8.785 5.567 4.652
7.775 2.328 4.666
5.474 4.822 4.658
```

Summary:
Formation energy without anion corrections (eV per atom): -1.2635
Space group: P-1 (2)



[3]
Pm3PrEr3Te8 after structural relaxation, computed with PBE.

The structure in POSCAR format:
```
Pm3PrEr3Te8
1.0
-4.708 6.247 3.949
-2.211 -8.423 0.969
7.278 3.084 3.797
Pm Pr Er Te
3 1 3 8
Cartesian
0.000 0.000 0.000
-1.106 -4.212 0.484
-3.459 -1.088 2.459
3.639 1.542 1.899
1.285 4.666 3.873
0.179 0.454 4.358
2.533 -2.670 2.383
-0.413 -1.884 2.489
0.772 2.792 6.226
-2.738 1.352 4.320
3.097 -0.444 4.395
-1.699 5.312 3.865
2.058 -4.404 4.850
0.514 2.375 2.008
-0.155 -1.467 6.707
```

Summary:
Formation energy without anion corrections (eV per atom): -1.3927
Space group: R-3m (166)



[4]
AcSmEuDy after structural relaxation, computed with PBE.

The structure in POSCAR format:
```
AcSmEuDy
1.0
-3.339 2.102 4.475
-5.335 -2.418 1.131
-0.806 -3.282 4.917
Eu Ac Sm Dy
1 1 1 1
Cartesian
0.000 0.000 0.000
-7.110 -2.699 7.892
-2.370 -0.900 2.631
-4.740 -1.799 5.261
```

Summary:
DFT formation energy (eV per atom): 0.13
Space group: F-43m (216)